Entry 1:
A plane-wave DFT calculation with PBE was carried out for crystalline ScCr2Cl at its relaxed geometry.

a b c (Å): 3.1971 3.1971 25.5499
angles (deg): 90.00 90.00 120.00
Space group R-3m (No. 166, hexagonal axes)
One atom of each set of equivalent atoms:
Sc  0.0000  0.0000  0.0000 x3
Cr  0.0000  0.0000  0.2443 x6
Cl  0.0000  0.0000  0.5000 x3

Values from the calculation:
Energy above the lowest structure with this stoichiometry ... 0.4578 eV/atom
Formation energy from raw total energies ... 102 kJ/mol of formula units
Total magnetization ... 21.946 Bohr magnetons per cell
Crystal system ... trigonal

***

Entry 2:
A plane-wave DFT calculation with PBE was carried out for crystalline TcSb2Te at its relaxed geometry.

a b c (Å): 6.2575 8.2715 3.5348
angles (deg): 90.00 90.00 90.00
Space group Cmmm (No. 65)
One atom of each set of equivalent atoms:
Tc  0.0000  0.0000  0.0000 x2
Sb  0.2500  0.2500  0.5000 x4
Te  0.0000  0.5000  0.0000 x2

Values from the calculation:
Energy above the lowest structure with this stoichiometry ... 0.5885 eV/atom
Formation energy from raw total energies ... 250 kJ/mol of formula units
Total magnetization ... 2.220 Bohr magnetons per cell
Crystal system ... orthorhombic

***

Entry 3:
A plane-wave DFT calculation with PBE was carried out for crystalline ZnInRe2N at its relaxed geometry.

a b c (Å): 4.8364 4.8364 3.5433
angles (deg): 90.00 90.00 90.00
Space group P4/mmm (No. 123)
One atom of each set of equivalent atoms:
Zn  0.0000  0.0000  0.0000 x1
In  0.5000  0.5000  0.5000 x1
Re  0.0000  0.5000  0.0000 x2
N  0.0000  0.0000  0.5000 x1

Values from the calculation:
Formation energy from raw total energies ... 966 kJ/mol of formula units
Total magnetization ... 1.402 Bohr magnetons per cell
Crystal system ... tetragonal

***

Entry 4:
A plane-wave DFT calculation with PBE was carried out for crystalline La3B2AsPt9 at its relaxed geometry.

a b c (Å): 5.8543 5.8543 9.3885
angles (deg): 90.00 90.00 120.00
Space group P-3m1 (No. 164)
One atom of each set of equivalent atoms:
La  0.0000  0.0000  0.0000 x1
La  0.3333  0.6667  0.6125 x2
B  0.3333  0.6667  0.1485 x2
As  0.0000  0.0000  0.5000 x1
Pt  0.0000  0.5000  0.0000 x3
Pt  0.1677  0.3354  0.2885 x6

Values from the calculation:
Total magnetization ... 0.000 Bohr magnetons per cell
E_form ... -806 meV per atom
Crystal system ... trigonal

***

Entry 5:
A plane-wave DFT calculation with PBE was carried out for crystalline Sr2AlCd2 at its relaxed geometry.

a b c (Å): 7.8395 7.8395 5.0462
angles (deg): 90.00 90.00 90.00
Space group P4/mbm (No. 127)
One atom of each set of equivalent atoms:
Sr  0.1802  0.3198  0.0000 x4
Al  0.0000  0.0000  0.5000 x2
Cd  0.1302  0.6302  0.5000 x4

Values from the calculation:
Energy above the lowest structure with this stoichiometry ... 0.1175 eV/atom
Total magnetization ... 0.000 Bohr magnetons per cell
E_form ... -165 meV per atom
Crystal system ... tetragonal

***

Entry 6:
A plane-wave DFT calculation with PBE was carried out for crystalline U2SiTc6 at its relaxed geometry.

a b c (Å): 13.8987 7.4874 2.8990
angles (deg): 90.00 101.39 90.00
Space group C2/m (No. 12)
One atom of each set of equivalent atoms:
U  0.1414  0.0000  0.3310 x4
Si  0.0000  0.5000  0.0000 x2
Tc  0.0000  0.2316  0.5000 x4
Tc  0.1701  0.3134  0.1424 x8

Values from the calculation:
Formation energy from raw total energies ... -50 kJ/mol of formula units
Total magnetization ... 0.001 Bohr magnetons per cell
Crystal system ... monoclinic

***

no.,DOS(E_F) (states/eV/cell),E_tot (eV per atom),theoretical density (g cm⁻³)
1,12.814,-6.592,4.06
2,8.168,-4.791,8.52
3,5.072,-5.445,11.35
4,3.471,-6.616,13.52
5,7.652,-1.952,4.57
6,20.305,-10.080,12.26